No. 1
! Li2Al2Ag (PBE, relaxed); values from VASP
&SYSTEM
  ibrav = 0, nat = 10, ntyp = 3
/
ATOMIC_SPECIES
Al 26.98 Al.upf
Ag 107.87 Ag.upf
Li 6.94 Li.upf
CELL_PARAMETERS angstrom
-3.2567 -5.4459 3.7617
-3.1649 -2.4007 -6.2157
2.3362 -1.7514 -0.5131
ATOMIC_POSITIONS crystal
Al 0.1396 0.6396 0.5000
Al 0.6396 0.8604 0.5000
Al 0.8604 0.3604 0.5000
Al 0.3604 0.1396 0.5000
Ag 0.0000 0.0000 0.0000
Ag 0.5000 0.5000 0.0000
Li 0.3428 0.8428 0.0000
Li 0.8428 0.6572 0.0000
Li 0.6572 0.1572 0.0000
Li 0.1572 0.3428 0.0000
! D(E_F) ... 0.384 states/eV per atom
! Polymorph energy (0 for the lowest one) ... 1.278 eV per formula unit
! DFT formation energy ... 0.15 eV/f.u.

=====

No. 2
! Li2Al8Ag (PBE, relaxed); values from VASP
&SYSTEM
  ibrav = 0, nat = 11, ntyp = 3
/
ATOMIC_SPECIES
Li 6.94 Li.upf
Al 26.98 Al.upf
Ag 107.87 Ag.upf
CELL_PARAMETERS angstrom
-0.8391 0.6540 -3.9723
-5.5926 -0.1850 1.1509
4.2612 7.9706 2.5408
ATOMIC_POSITIONS crystal
Li 0.8017 0.2008 0.6034
Li 0.1983 0.7992 0.3966
Al 0.3788 0.5355 0.7576
Al 0.6383 0.9706 0.2766
Al 0.7938 0.6818 0.5876
Al 0.9720 0.2491 0.9440
Al 0.2062 0.3182 0.4124
Al 0.3617 0.0294 0.7234
Al 0.6212 0.4645 0.2424
Al 0.0280 0.7509 0.0560
Ag 0.5000 0.0000 0.0000
! D(E_F) ... 0.294 states/eV per atom
! DFT formation energy ... 0.33 eV/f.u.

=====

No. 3
! Li7AlAg3 (PBE, relaxed); values from VASP
&SYSTEM
  ibrav = 0, nat = 22, ntyp = 3
/
ATOMIC_SPECIES
Li 6.94 Li.upf
Al 26.98 Al.upf
Ag 107.87 Ag.upf
CELL_PARAMETERS angstrom
-2.7174 0.1302 -0.7955
0.7543 -10.5301 0.7493
-3.6104 0.6263 12.4359
ATOMIC_POSITIONS crystal
Li 0.3600 0.7199 0.7500
Li 0.6400 0.2801 0.2500
Li 0.5472 0.0945 0.4156
Li 0.4528 0.9055 0.5844
Li 0.4528 0.9055 0.9156
Li 0.5472 0.0945 0.0844
Li 0.4154 0.8309 0.3844
Li 0.5846 0.1691 0.6156
Li 0.2698 0.5396 0.3844
Li 0.7302 0.4604 0.6156
Li 0.7302 0.4604 0.8844
Li 0.2698 0.5396 0.1156
Li 0.4154 0.8309 0.1156
Li 0.5846 0.1691 0.8844
Al 0.9992 0.9984 0.2500
Al 0.0008 0.0016 0.7500
Ag 0.1549 0.3098 0.4649
Ag 0.8451 0.6902 0.5351
Ag 0.1540 0.3079 0.7500
Ag 0.8460 0.6921 0.2500
Ag 0.1549 0.3098 0.0351
Ag 0.8451 0.6902 0.9649
! D(E_F) ... 0.354 states/eV per atom
! Polymorph energy (0 for the lowest one) ... 0.000 eV per formula unit
! DFT formation energy ... -1.26 eV/f.u.

=====

Repeat the first record exactly.
! Li2Al2Ag (PBE, relaxed); values from VASP
&SYSTEM
  ibrav = 0, nat = 10, ntyp = 3
/
ATOMIC_SPECIES
Al 26.98 Al.upf
Ag 107.87 Ag.upf
Li 6.94 Li.upf
CELL_PARAMETERS angstrom
-3.2567 -5.4459 3.7617
-3.1649 -2.4007 -6.2157
2.3362 -1.7514 -0.5131
ATOMIC_POSITIONS crystal
Al 0.1396 0.6396 0.5000
Al 0.6396 0.8604 0.5000
Al 0.8604 0.3604 0.5000
Al 0.3604 0.1396 0.5000
Ag 0.0000 0.0000 0.0000
Ag 0.5000 0.5000 0.0000
Li 0.3428 0.8428 0.0000
Li 0.8428 0.6572 0.0000
Li 0.6572 0.1572 0.0000
Li 0.1572 0.3428 0.0000
! D(E_F) ... 0.384 states/eV per atom
! Polymorph energy (0 for the lowest one) ... 1.278 eV per formula unit
! DFT formation energy ... 0.15 eV/f.u.

=====

Which value of D(E_F) does entry 1 give?
0.384 states/eV per atom

=====

Among the records above, which one has the lowest DFT formation energy?
Li7AlAg3

=====

Look up the D(E_F) of the first one.
0.384 states/eV per atom